A plane-wave DFT calculation with PBE was carried out for a geometry-optimized CaP2RuCl structure. Values from VASP.

Calculated density   3.6 Mg/m³
E   -5.14 eV per atom
Relative energy among the computed polymorphs   0 meV per atom

```
&SYSTEM
  ibrav = 0, nat = 5, ntyp = 4
/
ATOMIC_SPECIES
Ru 101.07 Ru.upf
Ca 40.08 Ca.upf
P 30.97 P.upf
Cl 35.45 Cl.upf
ATOMIC_POSITIONS angstrom
Ru 0.000 0.000 0.000
Ca 2.261 2.261 2.665
P 0.000 2.261 0.000
P 2.261 0.000 0.000
Cl 0.000 0.000 2.665
CELL_PARAMETERS angstrom
4.521 0.000 0.000
0.000 4.521 0.000
0.000 0.000 5.331
```